[1]
DFT (PBE-GGA) results for a geometry-optimized LaRu2 structure.

Geometry as CIF:
```
data_LaRu2
_cell_length_a 2.9641
_cell_length_b 7.9098
_cell_length_c 4.6703
_cell_angle_alpha 90.00
_cell_angle_beta 90.00
_cell_angle_gamma 90.00
_symmetry_space_group_name_H-M 'P n n m'
_symmetry_Int_Tables_number 58
loop_
_symmetry_equiv_pos_as_xyz
'x,y,z'
'-x,-y,-z'
'-x,-y,z'
'x,y,-z'
'x+1/2,-y+1/2,-z+1/2'
'-x+1/2,y+1/2,z+1/2'
'-x+1/2,y+1/2,-z+1/2'
'x+1/2,-y+1/2,z+1/2'
loop_
_atom_site_label
_atom_site_fract_x
_atom_site_fract_y
_atom_site_fract_z
_atom_site_occupancy
La1 0.0000 0.0000 0.0000 1
Ru1 0.2391 0.3448 0.0000 1
```

Properties
The value obtained for the energy of formation is 390 meV per atom.

[2]
DFT (PBE-GGA) results for a geometry-optimized NaSbO7 structure.

Geometry as CIF:
```
data_NaSbO7
_cell_length_a 6.8738
_cell_length_b 12.9202
_cell_length_c 6.4006
_cell_angle_alpha 90.00
_cell_angle_beta 90.00
_cell_angle_gamma 90.00
_symmetry_space_group_name_H-M 'C m c 21'
_symmetry_Int_Tables_number 36
loop_
_symmetry_equiv_pos_as_xyz
'x,y,z'
'-x,-y,z+1/2'
'-x,y,z'
'x,-y,z+1/2'
'x+1/2,y+1/2,z'
'-x+1/2,-y+1/2,z+1/2'
'-x+1/2,y+1/2,z'
'x+1/2,-y+1/2,z+1/2'
loop_
_atom_site_label
_atom_site_fract_x
_atom_site_fract_y
_atom_site_fract_z
_atom_site_occupancy
Na1 0.0000 0.2209 0.0000 1
Sb1 0.0000 0.3711 0.5844 1
O1 0.0000 0.0018 0.5530 1
O2 0.0000 0.0954 0.5172 1
O3 0.0000 0.4500 0.1983 1
O4 0.1651 0.4262 0.3324 1
O5 0.2182 0.3126 0.7121 1
```

Properties
Its raw formation energy is -3.90 eV per formula unit.

[3]
DFT (PBE-GGA) results for a geometry-optimized Rb3Tl4Bi2 structure.

Geometry as CIF:
```
data_Rb3Tl4Bi2
_cell_length_a 13.7812
_cell_length_b 5.1059
_cell_length_c 11.0280
_cell_angle_alpha 90.00
_cell_angle_beta 103.94
_cell_angle_gamma 90.00
_symmetry_space_group_name_H-M 'C 1 2/m 1'
_symmetry_Int_Tables_number 12
loop_
_symmetry_equiv_pos_as_xyz
'x,y,z'
'-x,-y,-z'
'-x,y,-z'
'x,-y,z'
'x+1/2,y+1/2,z'
'-x+1/2,-y+1/2,-z'
'-x+1/2,y+1/2,-z'
'x+1/2,-y+1/2,z'
loop_
_atom_site_label
_atom_site_fract_x
_atom_site_fract_y
_atom_site_fract_z
_atom_site_occupancy
Rb1 0.0000 0.0000 0.0000 1
Rb2 0.1866 0.5000 0.6220 1
Tl1 0.0028 0.0000 0.6564 1
Tl2 0.2364 0.0000 0.8951 1
Bi1 0.1025 0.5000 0.2610 1
```

Properties
The value obtained for the energy of formation is -176 meV per atom.

[4]
DFT (PBE-GGA) results for a geometry-optimized RbNb3Fe structure.

Geometry as CIF:
```
data_RbNb3Fe
_cell_length_a 4.8216
_cell_length_b 4.8216
_cell_length_c 4.8216
_cell_angle_alpha 90.00
_cell_angle_beta 90.00
_cell_angle_gamma 90.00
_symmetry_space_group_name_H-M 'P m -3 m'
_symmetry_Int_Tables_number 221
_symmetry_space_group_name_Hall '-P 4 2 3'
loop_
_atom_site_label
_atom_site_fract_x
_atom_site_fract_y
_atom_site_fract_z
_atom_site_occupancy
Rb1 0.0000 0.0000 0.0000 1
Nb1 0.0000 0.5000 0.5000 1
Fe1 0.5000 0.5000 0.5000 1
```

Properties
The value obtained for the energy of formation is 1248 meV per atom.

[5]
DFT (PBE-GGA) results for a geometry-optimized Li5MgAg4 structure.

Geometry as CIF:
```
data_Li5MgAg4
_cell_length_a 3.2886
_cell_length_b 3.2886
_cell_length_c 15.3730
_cell_angle_alpha 90.00
_cell_angle_beta 90.00
_cell_angle_gamma 90.00
_symmetry_space_group_name_H-M 'P 4/m m m'
_symmetry_Int_Tables_number 123
_symmetry_space_group_name_Hall '-P 4 2'
loop_
_atom_site_label
_atom_site_fract_x
_atom_site_fract_y
_atom_site_fract_z
_atom_site_occupancy
Li1 0.0000 0.0000 0.0000 1
Li2 0.0000 0.0000 0.1958 1
Li3 0.0000 0.0000 0.3855 1
Mg1 0.5000 0.5000 0.5000 1
Ag1 0.5000 0.5000 0.0980 1
Ag2 0.5000 0.5000 0.2949 1
```

Properties
The value obtained for the energy of formation is -185 meV per atom.

[6]
DFT (PBE-GGA) results for a geometry-optimized Th2SnBi structure.

Geometry as CIF:
```
data_Th2SnBi
_cell_length_a 3.7896
_cell_length_b 3.7896
_cell_length_c 8.3236
_cell_angle_alpha 90.00
_cell_angle_beta 90.00
_cell_angle_gamma 90.00
_symmetry_space_group_name_H-M 'P 4/m m m'
_symmetry_Int_Tables_number 123
_symmetry_space_group_name_Hall '-P 4 2'
loop_
_atom_site_label
_atom_site_fract_x
_atom_site_fract_y
_atom_site_fract_z
_atom_site_occupancy
Th1 0.0000 0.0000 0.2447 1
Sn1 0.5000 0.5000 0.5000 1
Bi1 0.5000 0.5000 0.0000 1
```

Properties
The value obtained for the energy of formation is -477 meV per atom.

[7]
DFT (PBE-GGA) results for a geometry-optimized Zr6OsPd structure.

Geometry as CIF:
```
data_Zr6OsPd
_cell_length_a 4.6983
_cell_length_b 4.6983
_cell_length_c 14.9699
_cell_angle_alpha 90.00
_cell_angle_beta 90.00
_cell_angle_gamma 90.00
_symmetry_space_group_name_H-M 'I 4/m m m'
_symmetry_Int_Tables_number 139
_symmetry_space_group_name_Hall '-I 4 2'
loop_
_atom_site_label
_atom_site_fract_x
_atom_site_fract_y
_atom_site_fract_z
_atom_site_occupancy
Zr1 0.0000 0.0000 0.2486 1
Zr2 0.0000 0.5000 0.1101 1
Os1 0.0000 0.0000 0.0000 1
Pd1 0.0000 0.0000 0.5000 1
```

Properties
The value obtained for the energy of formation is -300 meV per atom.

[8]
DFT (PBE-GGA) results for a geometry-optimized TbThIr structure.

Geometry as CIF:
```
data_TbThIr
_cell_length_a 6.9488
_cell_length_b 6.9488
_cell_length_c 6.9488
_cell_angle_alpha 90.00
_cell_angle_beta 90.00
_cell_angle_gamma 90.00
_symmetry_space_group_name_H-M 'F -4 3 m'
_symmetry_Int_Tables_number 216
_symmetry_space_group_name_Hall 'F -4 2 3'
loop_
_atom_site_label
_atom_site_fract_x
_atom_site_fract_y
_atom_site_fract_z
_atom_site_occupancy
Tb1 0.0000 0.0000 0.0000 1
Th1 0.0000 0.0000 0.5000 1
Ir1 0.2500 0.2500 0.2500 1
```

Properties
The value obtained for the energy of formation is -572 meV per atom.

[9]
DFT (PBE-GGA) results for a geometry-optimized SmHfAs2Rh5 structure.

Geometry as CIF:
```
data_SmHfAs2Rh5
_cell_length_a 4.0779
_cell_length_b 4.0779
_cell_length_c 10.7934
_cell_angle_alpha 90.00
_cell_angle_beta 90.00
_cell_angle_gamma 90.00
_symmetry_space_group_name_H-M 'P 4/m m m'
_symmetry_Int_Tables_number 123
_symmetry_space_group_name_Hall '-P 4 2'
loop_
_atom_site_label
_atom_site_fract_x
_atom_site_fract_y
_atom_site_fract_z
_atom_site_occupancy
Sm1 0.0000 0.0000 0.0000 1
Hf1 0.0000 0.0000 0.5000 1
As1 0.5000 0.5000 0.2201 1
Rh1 0.0000 0.5000 0.3359 1
Rh2 0.5000 0.5000 0.0000 1
```

Properties
The value obtained for the energy of formation is -593 meV per atom.

[10]
DFT (PBE-GGA) results for a geometry-optimized LiLaS2 structure.

Geometry as CIF:
```
data_LiLaS2
_cell_length_a 6.8852
_cell_length_b 6.8852
_cell_length_c 6.8852
_cell_angle_alpha 90.00
_cell_angle_beta 90.00
_cell_angle_gamma 90.00
_symmetry_space_group_name_H-M 'F m -3 m'
_symmetry_Int_Tables_number 225
_symmetry_space_group_name_Hall '-F 4 2 3'
loop_
_atom_site_label
_atom_site_fract_x
_atom_site_fract_y
_atom_site_fract_z
_atom_site_occupancy
Li1 0.0000 0.0000 0.0000 1
La1 0.0000 0.0000 0.5000 1
S1 0.2500 0.2500 0.2500 1
```

Properties
Its raw formation energy is -6.78 eV per formula unit.

[11]
DFT (PBE-GGA) results for a geometry-optimized DyTm4 structure.

Geometry as CIF:
```
data_DyTm4
_cell_length_a 6.0495
_cell_length_b 3.4985
_cell_length_c 14.3495
_cell_angle_alpha 90.00
_cell_angle_beta 97.92
_cell_angle_gamma 90.00
_symmetry_space_group_name_H-M 'C 1 2/m 1'
_symmetry_Int_Tables_number 12
loop_
_symmetry_equiv_pos_as_xyz
'x,y,z'
'-x,-y,-z'
'-x,y,-z'
'x,-y,z'
'x+1/2,y+1/2,z'
'-x+1/2,-y+1/2,-z'
'-x+1/2,y+1/2,-z'
'x+1/2,-y+1/2,z'
loop_
_atom_site_label
_atom_site_fract_x
_atom_site_fract_y
_atom_site_fract_z
_atom_site_occupancy
Dy1 0.0000 0.0000 0.0000 1
Tm1 0.1003 0.5000 0.7987 1
Tm2 0.1999 0.0000 0.5996 1
```

Properties
The value obtained for the energy of formation is 27 meV per atom.

[12]
DFT (PBE-GGA) results for a geometry-optimized La2PdSe structure.

Geometry as CIF:
```
data_La2PdSe
_cell_length_a 7.7311
_cell_length_b 7.7311
_cell_length_c 8.2109
_cell_angle_alpha 90.00
_cell_angle_beta 90.00
_cell_angle_gamma 90.00
_symmetry_space_group_name_H-M 'I -4 2 d'
_symmetry_Int_Tables_number 122
_symmetry_space_group_name_Hall 'I -4 2bw'
loop_
_atom_site_label
_atom_site_fract_x
_atom_site_fract_y
_atom_site_fract_z
_atom_site_occupancy
La1 0.2370 0.2500 0.1250 1
Pd1 0.0000 0.0000 0.0000 1
Se1 0.0000 0.0000 0.5000 1
```

Properties
Its raw formation energy is -4.14 eV per formula unit.

[13]
DFT (PBE-GGA) results for a geometry-optimized Tm2Zn2Pb structure.

Geometry as CIF:
```
data_Tm2Zn2Pb
_cell_length_a 4.2714
_cell_length_b 6.0527
_cell_length_c 8.9360
_cell_angle_alpha 90.00
_cell_angle_beta 90.00
_cell_angle_gamma 90.00
_symmetry_space_group_name_H-M 'I m m m'
_symmetry_Int_Tables_number 71
_symmetry_space_group_name_Hall '-I 2 2'
loop_
_atom_site_label
_atom_site_fract_x
_atom_site_fract_y
_atom_site_fract_z
_atom_site_occupancy
Tm1 0.0000 0.0000 0.2134 1
Zn1 0.0000 0.3007 0.5000 1
Pb1 0.0000 0.5000 0.0000 1
```

Properties
The value obtained for the energy of formation is -265 meV per atom.

[14]
DFT (PBE-GGA) results for a geometry-optimized CaB2IrO8 structure.

Geometry as CIF:
```
data_CaB2IrO8
_cell_length_a 4.9833
_cell_length_b 4.9833
_cell_length_c 6.5537
_cell_angle_alpha 90.00
_cell_angle_beta 90.00
_cell_angle_gamma 120.00
_symmetry_space_group_name_H-M 'P -3 m 1'
_symmetry_Int_Tables_number 164
_symmetry_space_group_name_Hall '-P 3 2"'
loop_
_atom_site_label
_atom_site_fract_x
_atom_site_fract_y
_atom_site_fract_z
_atom_site_occupancy
Ca1 0.0000 0.0000 0.0000 1
B1 0.3333 0.6667 0.2521 1
Ir1 0.0000 0.0000 0.5000 1
O1 0.1722 0.3444 0.3174 1
O2 0.3333 0.6667 0.0314 1
```

Properties
Its raw formation energy is -17.41 eV per formula unit.

[15]
DFT (PBE-GGA) results for a geometry-optimized LiYTlSn structure.

Geometry as CIF:
```
data_LiYTlSn
_cell_length_a 4.4013
_cell_length_b 4.5705
_cell_length_c 4.7869
_cell_angle_alpha 90.00
_cell_angle_beta 90.00
_cell_angle_gamma 90.00
_symmetry_space_group_name_H-M 'P m m m'
_symmetry_Int_Tables_number 47
loop_
_symmetry_equiv_pos_as_xyz
'x,y,z'
'-x,-y,-z'
'-x,-y,z'
'x,y,-z'
'x,-y,-z'
'-x,y,z'
'-x,y,-z'
'x,-y,z'
loop_
_atom_site_label
_atom_site_fract_x
_atom_site_fract_y
_atom_site_fract_z
_atom_site_occupancy
Li1 0.0000 0.0000 0.0000 1
Y1 0.0000 0.5000 0.5000 1
Tl1 0.5000 0.5000 0.0000 1
Sn1 0.5000 0.0000 0.5000 1
```

Properties
The value obtained for the energy of formation is -453 meV per atom.

[16]
DFT (PBE-GGA) results for a geometry-optimized MnS structure.

Geometry as CIF:
```
data_MnS
_cell_length_a 8.5112
_cell_length_b 8.5112
_cell_length_c 3.3802
_cell_angle_alpha 90.00
_cell_angle_beta 90.00
_cell_angle_gamma 120.00
_symmetry_space_group_name_H-M 'P 63/m'
_symmetry_Int_Tables_number 176
_symmetry_space_group_name_Hall '-P 6c'
loop_
_atom_site_label
_atom_site_fract_x
_atom_site_fract_y
_atom_site_fract_z
_atom_site_occupancy
Mn1 0.0883 0.6304 0.2500 1
S1 0.0771 0.3714 0.2500 1
```

Properties
Its raw formation energy is -0.82 eV per formula unit.

[17]
DFT (PBE-GGA) results for a geometry-optimized MgMo2Os structure.

Geometry as CIF:
```
data_MgMo2Os
_cell_length_a 2.7709
_cell_length_b 4.2380
_cell_length_c 5.3310
_cell_angle_alpha 90.00
_cell_angle_beta 90.00
_cell_angle_gamma 90.00
_symmetry_space_group_name_H-M 'P m m m'
_symmetry_Int_Tables_number 47
loop_
_symmetry_equiv_pos_as_xyz
'x,y,z'
'-x,-y,-z'
'-x,-y,z'
'x,y,-z'
'x,-y,-z'
'-x,y,z'
'-x,y,-z'
'x,-y,z'
loop_
_atom_site_label
_atom_site_fract_x
_atom_site_fract_y
_atom_site_fract_z
_atom_site_occupancy
Mg1 0.0000 0.0000 0.0000 1
Mo1 0.5000 0.5000 0.2570 1
Os1 0.0000 0.0000 0.5000 1
```

Properties
The value obtained for the energy of formation is 234 meV per atom.

[18]
DFT (PBE-GGA) results for a geometry-optimized CaMgSi2 structure.

Geometry as CIF:
```
data_CaMgSi2
_cell_length_a 3.3857
_cell_length_b 3.3857
_cell_length_c 7.4000
_cell_angle_alpha 90.00
_cell_angle_beta 90.00
_cell_angle_gamma 90.00
_symmetry_space_group_name_H-M 'P 4 m m'
_symmetry_Int_Tables_number 99
loop_
_symmetry_equiv_pos_as_xyz
'x,y,z'
'-y,x,z'
'-x,-y,z'
'y,-x,z'
'-x,y,z'
'y,x,z'
'x,-y,z'
'-y,-x,z'
loop_
_atom_site_label
_atom_site_fract_x
_atom_site_fract_y
_atom_site_fract_z
_atom_site_occupancy
Ca1 0.0000 0.0000 0.0000 1
Mg1 0.5000 0.5000 0.3510 1
Si1 0.0000 0.0000 0.5920 1
Si2 0.5000 0.5000 0.7211 1
```

Properties
Its raw formation energy is -0.16 eV per formula unit.

[19]
DFT (PBE-GGA) results for a geometry-optimized Zr12AlTl3 structure.

Geometry as CIF:
```
data_Zr12AlTl3
_cell_length_a 4.4646
_cell_length_b 4.4646
_cell_length_c 17.8116
_cell_angle_alpha 90.00
_cell_angle_beta 90.00
_cell_angle_gamma 90.00
_symmetry_space_group_name_H-M 'P 4/m m m'
_symmetry_Int_Tables_number 123
_symmetry_space_group_name_Hall '-P 4 2'
loop_
_atom_site_label
_atom_site_fract_x
_atom_site_fract_y
_atom_site_fract_z
_atom_site_occupancy
Zr1 0.0000 0.0000 0.0000 1
Zr2 0.0000 0.0000 0.2471 1
Zr3 0.0000 0.0000 0.5000 1
Zr4 0.0000 0.5000 0.1192 1
Zr5 0.0000 0.5000 0.3735 1
Al1 0.5000 0.5000 0.0000 1
Tl1 0.5000 0.5000 0.2470 1
Tl2 0.5000 0.5000 0.5000 1
```

Properties
The value obtained for the energy of formation is -158 meV per atom.

[20]
DFT (PBE-GGA) results for a geometry-optimized PmCdHg3 structure.

Geometry as CIF:
```
data_PmCdHg3
_cell_length_a 5.1058
_cell_length_b 5.1427
_cell_length_c 9.7057
_cell_angle_alpha 89.98
_cell_angle_beta 74.78
_cell_angle_gamma 90.00
_symmetry_space_group_name_H-M 'P -1'
_symmetry_Int_Tables_number 2
loop_
_symmetry_equiv_pos_as_xyz
'x,y,z'
'-x,-y,-z'
loop_
_atom_site_label
_atom_site_fract_x
_atom_site_fract_y
_atom_site_fract_z
_atom_site_occupancy
Pm1 0.1500 0.2498 0.1985 1
Cd1 0.3497 0.2499 0.8030 1
Hg1 0.0464 0.7491 0.4077 1
Hg2 0.2479 0.7501 0.0016 1
Hg3 0.4515 0.7518 0.6006 1
```

Properties
The value obtained for the energy of formation is -316 meV per atom.

| no. | M_tot (μB/f.u.) | calculated density (g/cm³) | DOS at the Fermi energy (states/eV per atom) |
| --- | --- | --- | --- |
| 1 | 0.000 | 10.34 | 1.83 |
| 2 | 1.971 | 3.00 | 0.00 |
| 3 | 0.000 | 6.58 | 0.36 |
| 4 | 0.897 | 6.22 | 1.03 |
| 5 | 0.000 | 4.90 | 0.18 |
| 6 | 0.000 | 11.00 | 1.03 |
| 7 | 0.000 | 8.48 | 1.02 |
| 8 | 0.000 | 11.54 | 1.00 |
| 9 | 0.000 | 9.19 | 0.41 |
| 10 | 0.000 | 4.27 | 0.00 |
| 11 | 0.000 | 9.25 | 1.48 |
| 12 | 0.000 | 6.27 | 0.92 |
| 13 | 0.281 | 9.72 | 1.00 |
| 14 | 1.789 | 4.50 | 0.58 |
| 15 | 0.000 | 7.22 | 0.42 |
| 16 | 1.312 | 4.09 | 0.42 |
| 17 | 0.000 | 10.78 | 0.60 |
| 18 | 0.000 | 2.36 | 0.57 |
| 19 | 0.000 | 8.11 | 0.88 |
| 20 | 0.000 | 11.60 | 0.27 |